# CsTiP2O7 (meta-GGA SCAN, single point on PBEsol structure)
# E_form (uncorrected) ... -2.727 eV/atom
data_CsTiP2O7
_chemical_formula_sum 'Cs4 Ti4 P8 O28'
_symmetry_space_group_name_H-M 'P 1 21/c 1'
_symmetry_Int_Tables_number 14
_symmetry_space_group_name_Hall '-P 2ybc'
_cell_length_a 7.742
_cell_length_b 10.176
_cell_length_c 8.424
_cell_angle_alpha 90.00
_cell_angle_beta 104.91
_cell_angle_gamma 90.00
loop_
_atom_site_label
_atom_site_type_symbol
_atom_site_fract_x
_atom_site_fract_y
_atom_site_fract_z
Cs1 Cs 0.195 0.197 0.046
Ti1 Ti 0.239 0.600 0.259
P1 P 0.131 0.595 0.832
P2 P 0.426 0.629 0.683
O1 O 0.011 0.002 0.766
O2 O 0.092 0.736 0.767
O3 O 0.157 0.585 0.016
O4 O 0.317 0.550 0.796
O5 O 0.323 0.603 0.506
O6 O 0.387 0.069 0.770
O7 O 0.435 0.726 0.233